1.
Entry from Alexandria via LeMat-Bulk: SrFe2Tc after structural relaxation (PBE).

Cell and atoms, written as POSCAR:
```
SrFe2Tc
1.0
6.046 -0.222 -0.138
4.753 3.744 -0.138
4.753 1.550 3.411
Fe Sr Tc
2 1 1
Direct
0.062 0.062 0.062
0.438 0.438 0.438
0.250 0.250 0.250
0.750 0.750 0.750
```

Calculated values
Calculated formation energy, eV per atom: 0.391
E above lowest polymorph, meV/atom: 0


2.
Entry from Alexandria via LeMat-Bulk: SrFe2Tc after structural relaxation (PBE).

Cell and atoms, written as POSCAR:
```
SrFe2Tc
1.0
4.848 0.000 0.000
0.000 4.843 0.000
0.000 0.000 2.853
Fe Sr Tc
2 1 1
Direct
0.000 0.000 0.000
0.500 0.500 0.000
0.500 0.000 0.500
0.000 0.500 0.500
```

Calculated values
Calculated formation energy, eV per atom: 0.918
E above lowest polymorph, meV/atom: 527


3.
Entry from Alexandria via LeMat-Bulk: SrFeTc2 after structural relaxation (PBE).

Cell and atoms, written as POSCAR:
```
SrFeTc2
1.0
5.631 0.010 -0.006
-2.964 4.789 -0.006
0.406 0.730 2.555
Fe Sr Tc
1 1 2
Direct
0.500 0.000 0.500
0.000 0.500 0.500
0.000 0.000 0.000
0.500 0.500 0.000
```

Calculated values
Calculated formation energy, eV per atom: 0.954
E above lowest polymorph, meV/atom: 508


4.
Entry from Alexandria via LeMat-Bulk: Sr2FeTc after structural relaxation (PBE).

Cell and atoms, written as POSCAR:
```
Sr2FeTc
1.0
-5.372 0.797 0.671
0.261 -4.733 -2.733
0.121 -1.758 3.056
Fe Sr Tc
1 2 1
Direct
0.000 0.500 0.500
0.000 0.000 0.000
0.500 0.500 0.000
0.500 0.000 0.500
```

Calculated values
Calculated formation energy, eV per atom: 1.049
E above lowest polymorph, meV/atom: 772


5.
Entry from Alexandria via LeMat-Bulk: Sr2FeTc after structural relaxation (PBE).

Cell and atoms, written as POSCAR:
```
Sr2FeTc
1.0
6.378 0.031 -0.012
3.118 5.564 0.012
-4.199 -3.729 3.024
Fe Sr Tc
1 2 1
Direct
0.682 0.182 0.500
0.980 0.980 0.000
0.265 0.765 0.500
0.573 0.573 0.000
```

Calculated values
Calculated formation energy, eV per atom: 0.555
E above lowest polymorph, meV/atom: 278


6.
Entry from Alexandria via LeMat-Bulk: SrZn2FeTc after structural relaxation (PBE).

Cell and atoms, written as POSCAR:
```
SrZn2FeTc
1.0
4.915 0.000 0.000
0.000 5.257 0.000
0.000 0.000 4.915
Sr Zn Tc Fe
1 2 1 1
Direct
0.000 0.500 0.000
0.000 0.000 0.500
0.500 0.000 0.000
0.000 0.000 0.000
0.500 0.500 0.500
```

Calculated values
Calculated formation energy, eV per atom: 1.145


7.
Entry from Alexandria via LeMat-Bulk: SrFe2Te after structural relaxation (PBE).

Cell and atoms, written as POSCAR:
```
SrFe2Te
1.0
6.072 -0.021 -0.013
4.496 4.081 -0.013
4.496 1.727 3.697
Fe Sr Te
2 1 1
Direct
0.070 0.070 0.070
0.430 0.430 0.430
0.250 0.250 0.250
0.750 0.750 0.750
```

Calculated values
Formation energy (no corrections), eV/atom: 0.00


8.
Entry from Alexandria via LeMat-Bulk: Sr2FeTe after structural relaxation (PBE).

Cell and atoms, written as POSCAR:
```
Sr2FeTe
1.0
5.547 0.000 0.000
2.773 4.804 0.000
2.773 1.601 4.529
Fe Sr Te
1 2 1
Direct
0.500 0.500 0.500
0.000 0.000 0.000
0.250 0.250 0.250
0.750 0.750 0.750
```

Calculated values
Formation energy (no corrections), eV/atom: 0.22


9.
Entry from Alexandria via LeMat-Bulk: Sr2FeTe after structural relaxation (PBE).

Cell and atoms, written as POSCAR:
```
Sr2FeTe
1.0
7.214 0.010 -0.158
4.456 5.674 0.158
-5.544 -3.440 3.083
Fe Sr Te
1 2 1
Direct
0.288 0.788 0.500
0.026 0.026 0.000
0.752 0.252 0.500
0.434 0.434 0.000
```

Calculated values
Formation energy (no corrections), eV/atom: -0.20


10.
Entry from Alexandria via LeMat-Bulk: Sr2FeTe after structural relaxation (PBE).

Cell and atoms, written as POSCAR:
```
Sr2FeTe
1.0
-2.849 0.832 3.499
1.388 -0.284 4.363
1.605 7.831 2.238
Fe Sr Te
1 2 1
Direct
0.250 0.250 0.250
0.002 0.002 0.002
0.498 0.498 0.498
0.750 0.750 0.750
```

Calculated values
Formation energy (no corrections), eV/atom: -0.20


11.
Entry from Alexandria via LeMat-Bulk: Sr4FeTe after structural relaxation (PBE).

Cell and atoms, written as POSCAR:
```
Sr4FeTe
1.0
0.000 5.000 5.000
5.000 0.000 5.000
5.000 5.000 0.000
Sr Fe Te
4 1 1
Direct
0.875 0.375 0.375
0.375 0.375 0.875
0.375 0.875 0.375
0.375 0.375 0.375
0.000 0.000 0.000
0.750 0.750 0.750
```

Calculated values
Formation energy (no corrections), eV/atom: 0.57


12.
Entry from Alexandria via LeMat-Bulk: SrFe2Te after structural relaxation (PBE).

Cell and atoms, written as POSCAR:
```
SrFe2Te
1.0
5.263 -0.463 -0.153
0.643 5.244 0.153
-2.059 -3.495 3.389
Fe Sr Te
2 1 1
Direct
0.018 0.018 0.000
0.173 0.673 0.500
0.494 0.494 0.000
0.816 0.316 0.500
```

Calculated values
Formation energy (no corrections), eV/atom: 0.28


13.
Entry from Alexandria via LeMat-Bulk: SrFeTe2 after structural relaxation (PBE).

Cell and atoms, written as POSCAR:
```
SrFeTe2
1.0
7.864 -0.025 -0.052
5.848 5.258 0.052
-6.767 -2.849 2.817
Fe Sr Te
1 1 2
Direct
0.453 0.453 0.000
0.705 0.205 0.500
0.026 0.026 0.000
0.316 0.816 0.500
```

Calculated values
Formation energy (no corrections), eV/atom: -0.42


14.
Entry from Alexandria via LeMat-Bulk: SrFe2Te after structural relaxation (PBE).

Cell and atoms, written as POSCAR:
```
SrFe2Te
1.0
4.525 0.000 0.000
0.000 4.629 0.003
0.000 0.001 4.915
Fe Sr Te
2 1 1
Direct
0.000 0.751 0.027
0.000 0.749 0.473
0.500 0.250 0.250
0.500 0.750 0.750
```

Calculated values
Formation energy (no corrections), eV/atom: 0.16


15.
Entry from Alexandria via LeMat-Bulk: SrFeTe2 after structural relaxation (PBE).

Cell and atoms, written as POSCAR:
```
SrFeTe2
1.0
-0.189 -3.803 -1.638
-0.399 -3.303 2.473
-7.020 -1.853 -0.132
Sr Te Fe
1 2 1
Direct
0.250 0.250 0.250
0.025 0.025 0.925
0.475 0.475 0.575
0.750 0.750 0.750
```

Calculated values
Formation energy (no corrections), eV/atom: -0.50


16.
Entry from Alexandria via LeMat-Bulk: SrFe2Te after structural relaxation (PBE).

Cell and atoms, written as POSCAR:
```
SrFe2Te
1.0
-2.137 -0.232 -5.180
0.631 -4.994 -2.473
-1.891 1.619 5.026
Fe Sr Te
2 1 1
Direct
0.003 0.003 0.000
0.497 0.497 0.000
0.250 0.750 0.500
0.750 0.250 0.500
```

Calculated values
Formation energy (no corrections), eV/atom: 0.47


17.
Entry from Alexandria via LeMat-Bulk: Sr2FeTe after structural relaxation (PBE).

Cell and atoms, written as POSCAR:
```
Sr2FeTe
1.0
8.448 0.000 0.000
0.000 8.448 0.000
4.224 4.224 3.935
Sr Te Fe
4 2 2
Direct
0.609 0.125 0.250
0.141 0.625 0.250
0.375 0.391 0.750
0.875 0.859 0.750
0.000 0.000 0.000
0.750 0.250 0.500
0.500 0.500 0.000
0.250 0.750 0.500
```

Calculated values
Formation energy (no corrections), eV/atom: 0.00


18.
Entry from Alexandria via LeMat-Bulk: SrFeTe2 after structural relaxation (PBE).

Cell and atoms, written as POSCAR:
```
SrFeTe2
1.0
5.409 0.000 0.000
2.705 4.685 0.000
2.705 1.562 4.417
Fe Sr Te
1 1 2
Direct
0.500 0.500 0.500
0.750 0.750 0.750
0.000 0.000 0.000
0.250 0.250 0.250
```

Calculated values
Formation energy (no corrections), eV/atom: 0.16


19.
Entry from Alexandria via LeMat-Bulk: Sr3FeTe after structural relaxation (PBE).

Cell and atoms, written as POSCAR:
```
Sr3FeTe
1.0
-2.636 5.602 -0.486
-3.662 -2.117 -4.547
-4.268 -1.643 4.202
Sr Te Fe
3 1 1
Direct
0.000 0.500 0.000
0.000 0.000 0.500
0.500 0.000 0.000
0.000 0.000 0.000
0.500 0.500 0.500
```

Calculated values
Formation energy (no corrections), eV/atom: 0.21


20.
Entry from Alexandria via LeMat-Bulk: Sr2FeTe after structural relaxation (PBE).

Cell and atoms, written as POSCAR:
```
Sr2FeTe
1.0
-5.671 2.231 2.366
-3.183 0.371 5.698
1.908 3.994 0.805
Sr Te Fe
2 1 1
Direct
0.022 0.022 0.125
0.735 0.735 0.625
0.441 0.441 0.625
0.303 0.303 0.125
```

Calculated values
Formation energy (no corrections), eV/atom: -0.34


no.,VASP energy (eV/atom),calculated density (Mg/m³),magnetization (μB/f.u.)
1,-6.852,5.90,3.80
2,-6.326,7.37,5.03
3,-6.765,8.17,2.62
4,-4.499,5.32,4.63
5,-4.993,5.10,0.65
6,-3.467,4.87,3.97
7,-5.436,5.89,3.52
8,-3.524,4.94,2.74
9,-3.944,4.67,2.21
10,-3.939,4.19,2.32
11,-2.487,3.55,2.08
12,-5.157,5.64,5.09
13,-4.526,5.65,3.69
14,-5.277,5.27,4.85
15,-4.607,6.49,0.00
16,-4.964,6.14,5.55
17,-3.743,4.24,2.00
18,-3.950,5.91,3.48
19,-3.116,3.09,1.64
20,-4.081,4.74,2.17